# PaGaSe2 | Alexandria | GGA-PBE | optimized geometry
# uncorrected energy	-5.745	eV per atom
# space group	P4/mmm
# total magnetization	0.2	μB per formula unit
# calculated density	8.6	g cm⁻³
# formation energy (no corrections)	-0.872	eV/atom
data_PaGaSe2
_cell_length_a 3.633
_cell_length_b 3.633
_cell_length_c 6.683
_cell_angle_alpha 90.00
_cell_angle_beta 90.00
_cell_angle_gamma 90.00
_symmetry_space_group_name_H-M 'P 1'
_symmetry_Int_Tables_number 1
loop_
_symmetry_equiv_pos_as_xyz
'x,y,z'
loop_
_atom_site_label
_atom_site_type_symbol
_atom_site_fract_x
_atom_site_fract_y
_atom_site_fract_z
Pa1 Pa 0.000 0.000 0.000
Ga1 Ga 0.000 0.000 0.500
Se1 Se 0.500 0.500 0.232
Se2 Se 0.500 0.500 0.768